4
Lattice="-2.765 -2.927 -1.269 -3.532 1.160 -2.001 -0.463 -0.824 -4.115" Properties=species:S:1:pos:R:3 comment="LaMnO2 (PBE with a Hubbard U, optimized geometry)" final_energy_ev_per_atom=-7.29 dos_ef_per_ev_fu=2.1 sg=Fm-3m pbc="T T T"
Mn 0.000 0.000 0.000
O -1.690 -0.648 -1.846
O -5.070 -1.943 -5.538
La -3.380 -1.296 -3.692